Record 1
An optimized crystal structure of InSiCl2. Source: Alexandria, functional PBE.

Output
- DOS(E_F) (states/eV/cell) = 1.17
- space-group type = No. 35
- electronic total energy (eV per atom) = -3.19
- energy above the lowest structure with this stoichiometry (meV per atom) = 209

abc: 3.7901 3.7901 9.1172
angles: 90.00 90.00 120.39
Closest atoms and distances in Å follow each position.
Fractional coordinates of all 4 atoms:
Cl 0.0000 0.0000 0.9201  2 Si 2.44
Cl 0.5000 0.5000 0.3140  2 In 2.63
In 0.0000 0.0000 0.5158  2 Cl 2.63, 2 Si 2.85
Si 0.5000 0.5000 0.7501  2 Cl 2.44

Record 2
An optimized crystal structure of In2SiCl5. Source: Alexandria, functional PBE.

Output
- DOS(E_F) (states/eV/cell) = 1.01
- space-group type = No. 107
- electronic total energy (eV per atom) = -3.29

abc: 7.3274 7.3274 6.9570
angles: 121.77 121.77 90.01
Closest atoms and distances in Å follow each position.
Fractional coordinates of all 8 atoms:
In 0.2162 0.7162 0.4330  4 Cl 3.18-3.19
In 0.7163 0.2161 0.4329  4 Cl 3.18
Si 0.9982 0.9982 0.9962  5 Cl 2.13-2.36
Cl 0.7922 0.2465 0.0385  1 Si 2.36
Cl 0.2465 0.2465 0.0385  1 Si 2.36
Cl 0.7922 0.7922 0.0384  1 Si 2.36
Cl 0.2463 0.7921 0.0382  1 Si 2.36
Cl 0.7692 0.7694 0.5383  1 Si 2.13

- Among the records above, which one has the lowest electronic total energy?
  In2SiCl5

- DOS(E_F) of number 1 (InSiCl2)?
  1.17 states/eV/cell